Sc2TlCo | PBE-GGA | optimized geometry

Cell lengths 3.227, 4.729, 10.377 Å; angles 90.00, 90.00, 90.00 degrees
Space group Imm2 (No. 44)
Asymmetric unit:
Sc (0.000, 0.000, 0.000)
Sc (0.000, 0.500, 0.200)
Tl (0.000, 0.500, 0.790)
Co (0.000, 0.000, 0.504)

Summary:
* magnetic moment: 0.060 μB per atom
* ΔH_f (0 K): -0.138 eV/atom

Sc3TlCo | PBE-GGA | optimized geometry

Cell lengths 6.9394, 6.9394, 5.1112 Å; angles 90.00, 90.00, 120.00 degrees
Space group P6_3/mmc (No. 194)
Asymmetric unit:
Sc (0.1774, 0.3547, 0.2500)
Tl (0.3333, 0.6667, 0.7500)
Co (0.0000, 0.0000, 0.0000)

Summary:
* magnetic moment: 0.000 μB per atom
* ΔH_f (0 K): -0.274 eV/atom

Sc2TlCo | PBE-GGA | optimized geometry

Cell lengths 3.2799, 3.2799, 27.0670 Å; angles 90.00, 90.00, 120.00 degrees
Space group R3m (No. 160, hexagonal axes)
Asymmetric unit:
Sc (0.0000, 0.0000, 0.0000)
Sc (0.0000, 0.0000, 0.2324)
Tl (0.0000, 0.0000, 0.4731)
Co (0.0000, 0.0000, 0.7322)

Summary:
* magnetic moment: 0.341 μB per atom
* ΔH_f (0 K): 0.165 eV/atom

Number 1: E_tot -22.688 eV per formula unit. Number 2: E_tot -29.835 eV per formula unit. Number 3: E_tot -21.474 eV per formula unit.